HgTeOs2 | PBE | relaxed

Cell and atoms, written as extended XYZ:
```
4
Lattice="-2.118 2.118 4.036 2.118 -2.118 4.036 2.118 2.118 -4.036" Properties=species:S:1:pos:R:3 pbc="T T T"
Hg 0.000 0.000 0.000
Te 0.000 2.118 2.018
Os 2.118 0.000 2.018
Os 0.000 0.000 4.036
```

Values from the calculation:
Uncorrected formation energy = 1.217 eV per atom
E above lowest polymorph = 696.4 meV per atom
Uncorrected energy = -5.26 eV per atom